The following is a GGA-PBEsol calculation of CsCdOs3 after structural relaxation, from the Alexandria database.

Results
Its density of states at the Fermi level is 1.6584 states/eV per atom. For the total DFT energy (no corrections), the calculation gives -4.626 eV per atom. For the formation energy, the calculation gives 3.131 eV/atom. As for the crystal system: cubic. The total magnetic moment comes out at 6.47 μB per formula unit. Its space group is Pm-3m, No. 221.

Unit cell a=5.029 b=5.029 c=5.029 alpha=90.00 beta=90.00 gamma=90.00
Element x y z (fractional)
Cs 0.000 0.000 0.000
Cd 0.500 0.500 0.500
Os 0.000 0.500 0.500
Os 0.500 0.000 0.500
Os 0.500 0.500 0.000

***

The following is a GGA-PBEsol calculation of CoCu2Si after structural relaxation, from the Alexandria database.

Results
Its density of states at the Fermi level is 0.6093 states/eV per atom. For the total DFT energy (no corrections), the calculation gives -5.427 eV per atom. As for the crystal system: trigonal. The total magnetic moment comes out at 1.59 μB per formula unit. Its space group is R-3m, No. 166.

Unit cell a=8.212 b=8.212 c=8.212 alpha=17.96 beta=17.96 gamma=17.96
Element x y z (fractional)
Co 0.000 0.000 0.000
Cu 0.249 0.249 0.249
Cu 0.751 0.751 0.751
Si 0.500 0.500 0.500

***

The following is a GGA-PBEsol calculation of Mg2Si2As after structural relaxation, from the Alexandria database.

Results
Its density of states at the Fermi level is 0.3267 states/eV per atom. For the total DFT energy (no corrections), the calculation gives -3.999 eV per atom. As for the crystal system: tetragonal. The total magnetic moment comes out at 0.00 μB per formula unit. Its space group is P4/mbm, No. 127.

Unit cell a=6.763 b=6.763 c=4.002 alpha=90.00 beta=90.00 gamma=90.00
Element x y z (fractional)
Mg 0.177 0.323 0.000
Mg 0.323 0.823 0.000
Mg 0.677 0.177 0.000
Mg 0.823 0.677 0.000
Si 0.123 0.623 0.500
Si 0.377 0.123 0.500
Si 0.623 0.877 0.500
Si 0.877 0.377 0.500
As 0.000 0.000 0.500
As 0.500 0.500 0.500

***

The following is a GGA-PBEsol calculation of BaZr2Rh after structural relaxation, from the Alexandria database.

Results
Its density of states at the Fermi level is 1.2328 states/eV per atom. For the total DFT energy (no corrections), the calculation gives -7.113 eV per atom. For the formation energy, the calculation gives 0.004 eV/atom. As for the crystal system: trigonal. The total magnetic moment comes out at 0.00 μB per formula unit. Its space group is R-3m, No. 166.

Unit cell a=7.589 b=7.589 c=7.589 alpha=32.36 beta=32.36 gamma=32.36
Element x y z (fractional)
Ba 0.000 0.000 0.000
Zr 0.212 0.212 0.212
Zr 0.788 0.788 0.788
Rh 0.500 0.500 0.500

***

The following is a GGA-PBEsol calculation of Y2TcAg after structural relaxation, from the Alexandria database.

Results
Its density of states at the Fermi level is 0.6269 states/eV per atom. For the total DFT energy (no corrections), the calculation gives -6.925 eV per atom. For the formation energy, the calculation gives 0.131 eV/atom. As for the crystal system: tetragonal. The total magnetic moment comes out at 0.00 μB per formula unit. Its space group is I-4m2, No. 119.

Unit cell a=5.562 b=5.562 c=5.562 alpha=135.72 beta=135.72 gamma=64.41
Element x y z (fractional)
Y 0.000 0.000 0.000
Y 0.750 0.250 0.500
Tc 0.250 0.750 0.500
Ag 0.500 0.500 0.000

***

The following is a GGA-PBEsol calculation of CaReIr2 after structural relaxation, from the Alexandria database.

Results
Its density of states at the Fermi level is 0.9792 states/eV per atom. For the total DFT energy (no corrections), the calculation gives -8.544 eV per atom. For the formation energy, the calculation gives 0.234 eV/atom. As for the crystal system: trigonal. The total magnetic moment comes out at 0.00 μB per formula unit. Its space group is R-3m, No. 166.

Unit cell a=9.438 b=9.438 c=9.438 alpha=17.10 beta=17.10 gamma=17.10
Element x y z (fractional)
Ca 0.000 0.000 0.000
Re 0.500 0.500 0.500
Ir 0.243 0.243 0.243
Ir 0.757 0.757 0.757

***

The following is a GGA-PBEsol calculation of Rh2W after structural relaxation, from the Alexandria database.

Results
Its density of states at the Fermi level is 0.7903 states/eV per atom. For the total DFT energy (no corrections), the calculation gives -10.227 eV per atom. For the formation energy, the calculation gives -0.199 eV/atom. As for the crystal system: orthorhombic. The total magnetic moment comes out at 0.00 μB per formula unit. Its space group is Cmcm, No. 63.

Unit cell a=6.051 b=6.051 c=3.850 alpha=90.00 beta=90.00 gamma=143.09
Element x y z (fractional)
Rh 0.080 0.920 0.750
Rh 0.249 0.751 0.250
Rh 0.751 0.249 0.750
Rh 0.920 0.080 0.250
W 0.411 0.589 0.750
W 0.589 0.411 0.250

***

The following is a GGA-PBEsol calculation of Be2IrRu after structural relaxation, from the Alexandria database.

Results
Its density of states at the Fermi level is 0.7437 states/eV per atom. For the total DFT energy (no corrections), the calculation gives -7.359 eV per atom. For the formation energy, the calculation gives -0.360 eV/atom. As for the crystal system: cubic. The total magnetic moment comes out at 0.00 μB per formula unit. Its space group is Fm-3m, No. 225.

Unit cell a=3.912 b=3.912 c=3.912 alpha=60.00 beta=60.00 gamma=60.00
Element x y z (fractional)
Be 0.250 0.250 0.250
Be 0.750 0.750 0.750
Ir 0.000 0.000 0.000
Ru 0.500 0.500 0.500

***

The following is a GGA-PBEsol calculation of La2AlTl after structural relaxation, from the Alexandria database.

Results
Its density of states at the Fermi level is 0.8048 states/eV per atom. For the total DFT energy (no corrections), the calculation gives -4.728 eV per atom. For the formation energy, the calculation gives -0.375 eV/atom. As for the crystal system: tetragonal. The total magnetic moment comes out at 0.00 μB per formula unit. Its space group is I4/mmm, No. 139.

Unit cell a=5.682 b=5.682 c=5.682 alpha=127.83 beta=127.83 gamma=76.90
Element x y z (fractional)
La 0.250 0.750 0.500
La 0.750 0.250 0.500
Al 0.000 0.000 0.000
Tl 0.500 0.500 0.000

***

The following is a GGA-PBEsol calculation of ScCuHg after structural relaxation, from the Alexandria database.

Results
Its density of states at the Fermi level is 0.5099 states/eV per atom. For the total DFT energy (no corrections), the calculation gives -4.127 eV per atom. For the formation energy, the calculation gives -0.292 eV/atom. As for the crystal system: tetragonal. The total magnetic moment comes out at 0.00 μB per formula unit. Its space group is I4mm, No. 107.

Unit cell a=5.005 b=5.005 c=5.005 alpha=139.48 beta=139.48 gamma=58.64
Element x y z (fractional)
Sc 0.000 0.000 0.000
Cu 0.337 0.337 0.000
Hg 0.678 0.678 0.000

***

The following is a GGA-PBEsol calculation of Ag2CO3 after structural relaxation, from the Alexandria database.

Results
For the total DFT energy (no corrections), the calculation gives -6.022 eV per atom. As for the crystal system: trigonal. The total magnetic moment comes out at 0.00 μB per formula unit. Its space group is P31c, No. 159.

Unit cell a=9.260 b=9.260 c=6.030 alpha=90.00 beta=90.00 gamma=120.00
Element x y z (fractional)
Ag 0.019 0.671 0.000
Ag 0.033 0.334 0.215
Ag 0.301 0.967 0.215
Ag 0.329 0.348 0.000
Ag 0.334 0.033 0.715
Ag 0.348 0.329 0.500
Ag 0.652 0.981 0.000
Ag 0.666 0.699 0.215
Ag 0.671 0.019 0.500
Ag 0.699 0.666 0.715
Ag 0.967 0.301 0.715
Ag 0.981 0.652 0.500
C 0.000 0.000 0.121
C 0.000 0.000 0.621
C 0.333 0.667 0.284
C 0.333 0.667 0.772
C 0.667 0.333 0.272
C 0.667 0.333 0.784
O 0.079 0.918 0.622
O 0.082 0.161 0.622
O 0.161 0.082 0.122
O 0.172 0.591 0.284
O 0.239 0.733 0.770
O 0.267 0.505 0.770
O 0.409 0.582 0.284
O 0.418 0.828 0.284
O 0.495 0.761 0.770
O 0.505 0.267 0.270
O 0.582 0.409 0.784
O 0.591 0.172 0.784
O 0.733 0.239 0.270
O 0.761 0.495 0.270
O 0.828 0.418 0.784
O 0.839 0.921 0.622
O 0.918 0.079 0.122
O 0.921 0.839 0.122

***

The following is a GGA-PBEsol calculation of Fe3Hg2 after structural relaxation, from the Alexandria database.

Results
Its density of states at the Fermi level is 1.0069 states/eV per atom. For the total DFT energy (no corrections), the calculation gives -5.342 eV per atom. For the formation energy, the calculation gives 0.263 eV/atom. As for the crystal system: orthorhombic. The total magnetic moment comes out at 7.53 μB per formula unit. Its space group is Immm, No. 71.

Unit cell a=8.771 b=8.771 c=8.771 alpha=160.60 beta=160.41 gamma=27.70
Element x y z (fractional)
Fe 0.000 0.000 0.000
Fe 0.427 0.427 0.000
Fe 0.573 0.573 0.000
Hg 0.180 0.180 0.000
Hg 0.820 0.820 0.000